Record 1
Below is a relaxed structure of LaMg2H7, with properties calculated at the PBEsol level.

Unit cell a=6.2856 b=6.2856 c=9.4275 alpha=90.00 beta=90.00 gamma=90.00
With the nearest neighbours (Å) after each atom.
Space group P4_12_12 (No. 92)
Asymmetric unit:
La 0.2271 0.2271 0.0000 x4  12 H 2.34-2.49
Mg 0.0226 0.7372 0.9010 x8  7 H 1.92-2.09
H 0.0339 0.9576 0.1196 x8  1 Mg 1.92
H 0.0601 0.4293 0.8231 x8  2 Mg 1.99-2.08
H 0.1608 0.6970 0.5022 x8  2 Mg 2.03-2.09, 1 H 2.18
H 0.2378 0.7622 0.7500 x4  4 Mg 1.97-2.02

## Properties
Total moment   0.0000 μB per atom
VASP energy   -142.41 eV for the cell shown
DOS(E_F)   0.000 states/eV/atom

Record 2
Below is a relaxed structure of HfIO2, with properties calculated at the PBEsol level.

Unit cell a=3.2282 b=3.2282 c=29.5143 alpha=90.00 beta=90.00 gamma=120.00
With the nearest neighbours (Å) after each atom.
Space group R-3m (No. 166, hexagonal axes)
Asymmetric unit:
Hf 0.0000 0.0000 0.0000 x3  6 O 2.09
I 0.0000 0.0000 0.5000 x3  6 I 3.23
O 0.0000 0.0000 0.3655 x6  3 Hf 2.09

## Properties
Total moment   0.0000 μB per atom
DOS(E_F)   0.211 states/eV/atom
Formation energy (no corrections)   -2.43 eV per atom

Record 3
Below is a relaxed structure of CrNi3H, with properties calculated at the PBEsol level.

Unit cell a=3.5693 b=3.5693 c=3.5693 alpha=90.00 beta=90.00 gamma=90.00
With the nearest neighbours (Å) after each atom.
Space group Pm-3m (No. 221)
Asymmetric unit:
Cr 0.0000 0.0000 0.0000 x1  12 Ni 2.52
Ni 0.0000 0.5000 0.5000 x3  2 H 1.78
H 0.5000 0.5000 0.5000 x1  6 Ni 1.78

## Properties
Total moment   0.6165 μB per atom
VASP energy   -31.99 eV for the cell shown
DOS(E_F)   0.890 states/eV/atom

Record 4
Below is a relaxed structure of CrSnO2, with properties calculated at the PBEsol level.

Unit cell a=5.7605 b=5.7605 c=5.7605 alpha=90.00 beta=90.00 gamma=90.00
With the nearest neighbours (Å) after each atom.
Space group Fm-3m (No. 225)
Asymmetric unit:
Cr 0.0000 0.0000 0.0000 x4  8 O 2.49
Sn 0.0000 0.0000 0.5000 x4  8 O 2.49
O 0.2500 0.2500 0.2500 x8  4 Cr 2.49, 4 Sn 2.49

## Properties
Total moment   0.9948 μB per atom
DOS(E_F)   0.687 states/eV/atom
Formation energy (no corrections)   -0.41 eV per atom
ΔE to the lowest computed polymorph   1.057 eV/atom

Record 5
Below is a relaxed structure of Tl2PAu, with properties calculated at the PBEsol level.

Unit cell a=4.2055 b=4.2055 c=19.6285 alpha=90.00 beta=90.00 gamma=120.00
With the nearest neighbours (Å) after each atom.
Space group R3m (No. 160, hexagonal axes)
Asymmetric unit:
Tl 0.0000 0.0000 0.0000 x3  3 Au 3.13, 3 P 3.19, 3 Tl 3.47
Tl 0.0000 0.0000 0.2067 x3  3 P 3.14, 3 Au 3.19, 3 Tl 3.47
P 0.0000 0.0000 0.4387 x3  3 Au 2.43
Au 0.0000 0.0000 0.7677 x3  3 P 2.43

## Properties
Formation enthalpy at 0 K   -0.01 eV per atom
Total moment   0.0000 μB per atom
DOS(E_F)   0.159 states/eV/atom
ΔE to the lowest computed polymorph   0.000 eV/atom

Record 6
Below is a relaxed structure of InCuP2Se6, with properties calculated at the PBEsol level.

Unit cell a=6.3322 b=6.3322 c=13.2793 alpha=90.00 beta=90.00 gamma=120.00
With the nearest neighbours (Å) after each atom.
Space group P-31c (No. 163)
Asymmetric unit:
In 0.0000 0.0000 0.2500 x2  6 Se 2.78
Cu 0.3333 0.6667 0.2500 x2  6 Se 2.62
P 0.3333 0.6667 0.6653 x4  3 Se 2.21, 1 P 2.25
Se 0.0138 0.3541 0.1225 x12  1 P 2.21

## Properties
Total moment   0.0000 μB per atom
DOS(E_F)   0.250 states/eV/atom
Formation energy (no corrections)   -0.19 eV per atom

Record 7
Below is a relaxed structure of P2AuOF, with properties calculated at the PBEsol level.

Unit cell a=4.7543 b=4.7543 c=3.9523 alpha=90.00 beta=90.00 gamma=90.00
With the nearest neighbours (Å) after each atom.
Space group P4/mmm (No. 123)
Asymmetric unit:
P 0.0000 0.5000 0.0000 x2  2 Au 2.38
Au 0.0000 0.0000 0.0000 x1  2 O 1.98
O 0.0000 0.0000 0.5000 x1  2 Au 1.98
F 0.5000 0.5000 0.5000 x1  8 P 3.09, 4 O 3.36

## Properties
Total moment   0.0001 μB per atom
DOS(E_F)   1.054 states/eV/atom
Formation energy (no corrections)   0.85 eV per atom

Record 8
Below is a relaxed structure of LaReMo2, with properties calculated at the PBEsol level.

Unit cell a=3.2039 b=4.5072 c=4.9035 alpha=90.00 beta=90.00 gamma=90.00
With the nearest neighbours (Å) after each atom.
Space group Pmmm (No. 47)
Asymmetric unit:
La 0.0000 0.0000 0.0000 x1  4 Mo 2.76, 4 Re 2.93
Re 0.5000 0.0000 0.5000 x1  4 Mo 2.76, 4 La 2.93
Mo 0.0000 0.5000 0.5000 x1  4 Re 2.76, 4 Mo 2.93
Mo 0.5000 0.5000 0.0000 x1  4 La 2.76, 4 Mo 2.93

## Properties
Formation enthalpy at 0 K   0.68 eV per atom
Total moment   0.0000 μB per atom
DOS(E_F)   0.874 states/eV/atom
ΔE to the lowest computed polymorph   0.077 eV/atom

Record 9
Below is a relaxed structure of NiAg2BiS, with properties calculated at the PBEsol level.

Unit cell a=4.9040 b=4.9040 c=4.1039 alpha=90.00 beta=90.00 gamma=90.00
With the nearest neighbours (Å) after each atom.
Space group P4/mmm (No. 123)
Asymmetric unit:
Ni 0.0000 0.0000 0.0000 x1  2 S 2.05
Ag 0.0000 0.5000 0.5000 x2  2 S 2.45
Bi 0.5000 0.5000 0.0000 x1  8 Ag 3.20, 4 Ni 3.47
S 0.0000 0.0000 0.5000 x1  2 Ni 2.05

## Properties
Total moment   0.0001 μB per atom
DOS(E_F)   0.762 states/eV/atom
Formation energy (no corrections)   0.26 eV per atom

Record 10
Below is a relaxed structure of CrTeAs2Br, with properties calculated at the PBEsol level.

Unit cell a=5.2963 b=5.2963 c=5.4016 alpha=90.00 beta=90.00 gamma=90.00
With the nearest neighbours (Å) after each atom.
Space group P4/mmm (No. 123)
Asymmetric unit:
Cr 0.0000 0.0000 0.0000 x1  4 Br 3.75, 8 As 3.78
Te 0.5000 0.5000 0.5000 x1  4 As 2.65, 2 Br 2.70
As 0.0000 0.5000 0.5000 x2  2 Te 2.65
Br 0.5000 0.5000 0.0000 x1  2 Te 2.70

## Properties
Total moment   0.7524 μB per atom
DOS(E_F)   0.737 states/eV/atom
Formation energy (no corrections)   1.14 eV per atom

Record 11
Below is a relaxed structure of LaSiRh2, with properties calculated at the PBEsol level.

Unit cell a=4.3911 b=4.3911 c=7.1279 alpha=90.00 beta=90.00 gamma=90.00
With the nearest neighbours (Å) after each atom.
Space group I4/mmm (No. 139)
Asymmetric unit:
La 0.0000 0.0000 0.0000 x2  8 Rh 2.83, 4 Si 3.10
Si 0.0000 0.0000 0.5000 x2  8 Rh 2.83, 4 La 3.10
Rh 0.0000 0.5000 0.2500 x4  4 La 2.83, 4 Si 2.83, 4 Rh 3.10

## Properties
Total moment   0.0001 μB per atom
DOS(E_F)   0.388 states/eV/atom
Formation energy (no corrections)   -0.50 eV per atom

Record 12
Below is a relaxed structure of Cs2NbF6, with properties calculated at the PBEsol level.

Unit cell a=6.3130 b=6.3130 c=4.9156 alpha=90.00 beta=90.00 gamma=120.00
With the nearest neighbours (Å) after each atom.
Space group P-3m1 (No. 164)
Asymmetric unit:
Cs 0.3333 0.6667 0.2988 x2  12 F 3.07-3.21
Nb 0.0000 0.0000 0.0000 x1  6 F 2.00
F 0.1544 0.3089 0.7808 x6  1 Nb 2.00

## Properties
Total moment   0.1111 μB per atom
DOS(E_F)   0.849 states/eV/atom
Formation energy (no corrections)   -2.96 eV per atom

Record 13
Below is a relaxed structure of CoRe2Si, with properties calculated at the PBEsol level.

Unit cell a=2.6663 b=3.8316 c=5.1696 alpha=90.00 beta=100.22 gamma=90.00
With the nearest neighbours (Å) after each atom.
Space group P2/m (No. 10)
Asymmetric unit:
Co 0.0000 0.0000 0.0000 x1  2 Si 2.58, 8 Re 2.66, 2 Co 2.67
Re 0.4138 0.5000 0.7499 x2  2 Si 2.46, 4 Re 2.54-2.70, 4 Co 2.66
Si 0.0000 0.0000 0.5000 x1  4 Re 2.46, 2 Co 2.58, 2 Si 2.67

## Properties
Total moment   0.0600 μB per atom
DOS(E_F)   1.035 states/eV/atom
Formation energy (no corrections)   0.07 eV per atom

Record 14
Below is a relaxed structure of NbPdCl2, with properties calculated at the PBEsol level.

Unit cell a=6.2623 b=6.2623 c=6.2623 alpha=90.00 beta=90.00 gamma=90.00
With the nearest neighbours (Å) after each atom.
Space group Fm-3m (No. 225)
Asymmetric unit:
Nb 0.0000 0.0000 0.0000 x4  8 Cl 2.71
Pd 0.0000 0.0000 0.5000 x4  8 Cl 2.71
Cl 0.2500 0.2500 0.2500 x8  4 Nb 2.71, 4 Pd 2.71

## Properties
Total moment   0.0000 μB per atom
DOS(E_F)   0.463 states/eV/atom
Formation energy (no corrections)   0.04 eV per atom